# 1
# Pa2AsH2

A relaxed Pa2AsH2 crystal (PBE, Alexandria via LeMat-Bulk).

a = 6.119 Å, b = 9.892 Å, c = 6.010 Å
α = 90.00°, β = 120.51°, γ = 90.00°
Space group C2/c (No. 15)
Unique sites:
Pa 0.000 0.082 0.250 (multiplicity 4)
Pa 0.000 0.331 0.750 (multiplicity 4)
As 0.000 0.375 0.250 (multiplicity 4)
H 0.100 0.125 0.949 (multiplicity 8)

Results
Volume in Å³ per atom: 15.67
DFT total energy in eV per atom: -6.53


# 2
# NaNpTe3Au

A relaxed NaNpTe3Au crystal (PBE, Alexandria via LeMat-Bulk).

a = 8.449 Å, b = 4.338 Å, c = 10.462 Å
α = 90.00°, β = 106.27°, γ = 90.00°
Space group P2_1/m (No. 11)
Unique sites:
Na 0.223 0.250 0.283 (multiplicity 2)
Np 0.317 0.750 0.831 (multiplicity 2)
Te 0.071 0.250 0.849 (multiplicity 2)
Te 0.280 0.750 0.534 (multiplicity 2)
Te 0.417 0.750 0.140 (multiplicity 2)
Au 0.096 0.250 0.588 (multiplicity 2)

Results
Volume in Å³ per atom: 30.68
DFT total energy in eV per atom: -5.07
ΔE_f (raw) in meV/atom: -580


# 3
# KTaW2

A relaxed KTaW2 crystal (PBE, Alexandria via LeMat-Bulk).

a = 9.511 Å, b = 3.160 Å, c = 7.347 Å
α = 90.00°, β = 93.65°, γ = 90.00°
Space group C2/m (No. 12)
Unique sites:
K 0.000 0.000 0.000 (multiplicity 2)
Ta 0.000 0.500 0.500 (multiplicity 2)
W 0.235 0.000 0.624 (multiplicity 4)

Results
Volume in Å³ per atom: 27.55
ΔH_f (0 K) in eV per atom: 1.16
DFT total energy in eV per atom: -8.56